Below is a geometry-optimized TaBiO4 structure, with properties calculated at the PBE level.

Properties
Raw total energy ... -8.1615 eV per atom

CIF file:
```
data_TaBiO4
_symmetry_space_group_name_H-M 'P n n a'
_symmetry_Int_Tables_number 52
_cell_length_a 5.7383
_cell_length_b 11.9042
_cell_length_c 5.0404
_cell_angle_alpha 90.00
_cell_angle_beta 90.00
_cell_angle_gamma 90.00
loop_
_symmetry_equiv_pos_as_xyz
'x,y,z'
'-x,-y,-z'
'-x+1/2,-y,z'
'x+1/2,y,-z'
'x,-y+1/2,-z+1/2'
'-x,y+1/2,z+1/2'
'-x+1/2,y+1/2,-z+1/2'
'x+1/2,-y+1/2,z+1/2'
loop_
_atom_site_label
_atom_site_fract_x
_atom_site_fract_y
_atom_site_fract_z
Ta1 0.1326 0.2500 0.2500
Bi1 0.2500 0.0000 0.7199
O1 0.0817 0.0979 0.4103
O2 0.1490 0.6961 0.5065
```